Li2Tl2Ir | GGA-PBE | relaxed

POSCAR file:
```
Li2Tl2Ir
1.0
7.399 0.000 0.000
0.000 7.399 0.000
0.000 0.000 3.325
Ir Li Tl
2 4 4
Direct
0.000 0.000 0.000
0.500 0.500 0.000
0.345 0.155 0.500
0.845 0.345 0.500
0.155 0.655 0.500
0.655 0.845 0.500
0.348 0.848 0.000
0.652 0.152 0.000
0.152 0.348 0.000
0.848 0.652 0.000
```

Results
ΔE to the lowest computed polymorph = 0.000 eV per atom
SG = P4/mbm, No. 127
E_form = 133 meV per atom